## CoRhPb2 (GGA-PBE)

Data for crystalline CoRhPb2 at its relaxed geometry.

abc: 3.3675 3.3675 23.8415
angles: 90.00 90.00 120.00
Atoms (fractional coordinates):
Co 0.0000 0.0000 0.0000
Co 0.3333 0.6667 0.6667
Co 0.6667 0.3333 0.3333
Rh 0.0000 0.0000 0.5000
Rh 0.3333 0.6667 0.1667
Rh 0.6667 0.3333 0.8333
Pb 0.0000 0.0000 0.2526
Pb 0.0000 0.0000 0.7474
Pb 0.3333 0.6667 0.4140
Pb 0.3333 0.6667 0.9193
Pb 0.6667 0.3333 0.0807
Pb 0.6667 0.3333 0.5860

The space group is R-3m (166). Its relative energy among the computed polymorphs is 17.3 kJ per mole of atoms. For the formation energy, the calculation gives 37 kJ/mol of atoms.

## CoRh2Pb (GGA-PBE)

Data for crystalline CoRh2Pb at its relaxed geometry.

abc: 2.9636 3.7383 5.7925
angles: 90.00 90.00 90.00
Atoms (fractional coordinates):
Co 0.0000 0.0000 0.0000
Rh 0.0000 0.0000 0.5544
Rh 0.5000 0.5000 0.8211
Pb 0.5000 0.5000 0.2966

The space group is Pmm2 (25). For the formation energy, the calculation gives 26 kJ/mol of atoms.

## CoRh2Pb (GGA-PBE)

Data for crystalline CoRh2Pb at its relaxed geometry.

abc: 4.0199 4.0199 7.7176
angles: 90.00 90.00 90.00
Atoms (fractional coordinates):
Co 0.0000 0.0000 0.0000
Co 0.5000 0.5000 0.5000
Rh 0.0000 0.0000 0.5000
Rh 0.0000 0.5000 0.7500
Rh 0.5000 0.0000 0.2500
Rh 0.5000 0.5000 0.0000
Pb 0.0000 0.5000 0.2500
Pb 0.5000 0.0000 0.7500

The space group is I-4m2 (119). For the formation energy, the calculation gives 19 kJ/mol of atoms.

## CoRh2Pb (GGA-PBE)

Data for crystalline CoRh2Pb at its relaxed geometry.

abc: 9.1169 3.0101 4.7854
angles: 90.00 102.78 90.00
Atoms (fractional coordinates):
Co 0.0000 0.0000 0.0000
Co 0.5000 0.5000 0.0000
Rh 0.0082 0.5000 0.5554
Rh 0.2622 0.0000 0.8319
Rh 0.5082 0.0000 0.5554
Rh 0.7622 0.5000 0.8319
Pb 0.2529 0.5000 0.3142
Pb 0.7529 0.0000 0.3142

The space group is Cm (8). For the formation energy, the calculation gives 24 kJ/mol of atoms.

## CoRh2Pb (GGA-PBE)

Data for crystalline CoRh2Pb at its relaxed geometry.

abc: 3.0333 3.0333 6.9765
angles: 90.00 90.00 90.00
Atoms (fractional coordinates):
Co 0.0000 0.0000 0.0000
Rh 0.5000 0.5000 0.2133
Rh 0.5000 0.5000 0.7867
Pb 0.0000 0.0000 0.5000

The space group is P4/mmm (123). For the formation energy, the calculation gives 21 kJ/mol of atoms.

## CoRhPb2 (GGA-PBE)

Data for crystalline CoRhPb2 at its relaxed geometry.

abc: 6.8259 6.8259 6.8259
angles: 90.00 90.00 90.00
Atoms (fractional coordinates):
Co 0.0000 0.0000 0.0000
Co 0.0000 0.5000 0.5000
Co 0.5000 0.0000 0.5000
Co 0.5000 0.5000 0.0000
Rh 0.2500 0.2500 0.2500
Rh 0.2500 0.7500 0.7500
Rh 0.7500 0.2500 0.7500
Rh 0.7500 0.7500 0.2500
Pb 0.0000 0.0000 0.5000
Pb 0.0000 0.5000 0.0000
Pb 0.2500 0.2500 0.7500
Pb 0.2500 0.7500 0.2500
Pb 0.5000 0.0000 0.0000
Pb 0.5000 0.5000 0.5000
Pb 0.7500 0.2500 0.2500
Pb 0.7500 0.7500 0.7500

The space group is F-43m (216). Its relative energy among the computed polymorphs is 38.9 kJ per mole of atoms. For the formation energy, the calculation gives 59 kJ/mol of atoms.

## CoRu2RhPb (GGA-PBE)

Data for crystalline CoRu2RhPb at its relaxed geometry.

abc: 4.3725 4.3725 4.8028
angles: 90.00 90.00 90.00
Atoms (fractional coordinates):
Co 0.0000 0.0000 0.0000
Ru 0.0000 0.5000 0.0000
Ru 0.5000 0.0000 0.0000
Rh 0.5000 0.5000 0.5000
Pb 0.0000 0.0000 0.5000

The space group is P4/mmm (123). For the formation energy, the calculation gives 124 kJ/mol of atoms.

## Co2RhPbS (GGA-PBE)

Data for crystalline Co2RhPbS at its relaxed geometry.

abc: 4.0696 4.0696 5.6263
angles: 90.00 90.00 90.00
Atoms (fractional coordinates):
Co 0.0000 0.5000 0.0000
Co 0.5000 0.0000 0.0000
Rh 0.0000 0.0000 0.5000
Pb 0.5000 0.5000 0.5000
S 0.5000 0.5000 0.0000

The space group is P4/mmm (123). Its uncorrected formation energy is 0.5133 eV per atom.